The following is a GGA-PBE calculation of crystalline ScReSb at its relaxed geometry, from Alexandria.

Cell: 6.4367 6.4367 6.4367 Å, 90.00 90.00 90.00°
Positions (direct):
Sc  0.0000  0.0000  0.0000
Sc  0.0000  0.5000  0.5000
Sc  0.5000  0.0000  0.5000
Sc  0.5000  0.5000  0.0000
Re  0.2500  0.2500  0.2500
Re  0.2500  0.7500  0.7500
Re  0.7500  0.2500  0.7500
Re  0.7500  0.7500  0.2500
Sb  0.2500  0.2500  0.7500
Sb  0.2500  0.7500  0.2500
Sb  0.7500  0.2500  0.2500
Sb  0.7500  0.7500  0.7500

Computed properties:
**Formation energy (no corrections)**: 0.639 eV/atom
**Space group**: F-43m, No. 216
**Polymorph energy (0 for the lowest one)**: 2.080 eV per formula unit